No. 1
# CrGe3Ru PBE relaxed
data_CrGe3Ru
_cell_length_a 4.7639
_cell_length_b 4.7639
_cell_length_c 4.7639
_cell_angle_alpha 90.00
_cell_angle_beta 90.00
_cell_angle_gamma 90.00
_space_group_name_H-M_alt 'P m -3 m'
_space_group_IT_number 221
_space_group_name_Hall '-P 4 2 3'
loop_
_atom_site_label
_atom_site_type_symbol
_atom_site_fract_x
_atom_site_fract_y
_atom_site_fract_z
Cr1 Cr 0.0000 0.0000 0.0000
Ge1 Ge 0.0000 0.5000 0.5000
Ru1 Ru 0.5000 0.5000 0.5000
# **Calculated formation energy**: 0.611 eV per atom
# **Crystal system**: cubic

No. 2
# CuPH2 PBE relaxed
data_CuPH2
_cell_length_a 4.2843
_cell_length_b 4.4382
_cell_length_c 4.4788
_cell_angle_alpha 94.76
_cell_angle_beta 115.44
_cell_angle_gamma 118.48
_space_group_name_H-M_alt 'P 1'
_space_group_IT_number 1
loop_
_space_group_symop_operation_xyz
'x,y,z'
loop_
_atom_site_label
_atom_site_type_symbol
_atom_site_fract_x
_atom_site_fract_y
_atom_site_fract_z
Cu1 Cu 0.0000 0.0000 0.0000
P1 P 0.3931 0.8429 0.9346
H1 H 0.1214 0.6327 0.5617
H2 H 0.2759 0.5162 0.0312
# **Electronic total energy**: -0.2918 Ry per atom
# **Crystal system**: triclinic

No. 3
# PaZnMo2 PBE relaxed
data_PaZnMo2
_cell_length_a 4.4688
_cell_length_b 4.4688
_cell_length_c 3.5300
_cell_angle_alpha 90.00
_cell_angle_beta 90.00
_cell_angle_gamma 90.00
_space_group_name_H-M_alt 'P 4/m m m'
_space_group_IT_number 123
_space_group_name_Hall '-P 4 2'
loop_
_atom_site_label
_atom_site_type_symbol
_atom_site_fract_x
_atom_site_fract_y
_atom_site_fract_z
Pa1 Pa 0.0000 0.0000 0.0000
Zn1 Zn 0.5000 0.5000 0.0000
Mo1 Mo 0.0000 0.5000 0.5000
# **Calculated formation energy**: 0.108 eV per atom
# **Crystal system**: tetragonal

No. 4
# Li2HgPd8 PBE relaxed
data_Li2HgPd8
_cell_length_a 14.1705
_cell_length_b 3.9538
_cell_length_c 6.2917
_cell_angle_alpha 90.00
_cell_angle_beta 106.20
_cell_angle_gamma 90.00
_space_group_name_H-M_alt 'C 1 2/m 1'
_space_group_IT_number 12
loop_
_space_group_symop_operation_xyz
'x,y,z'
'-x,-y,-z'
'-x,y,-z'
'x,-y,z'
'x+1/2,y+1/2,z'
'-x+1/2,-y+1/2,-z'
'-x+1/2,y+1/2,-z'
'x+1/2,-y+1/2,z'
loop_
_atom_site_label
_atom_site_type_symbol
_atom_site_fract_x
_atom_site_fract_y
_atom_site_fract_z
Li1 Li 0.2272 0.0000 0.1435
Hg1 Hg 0.0000 0.5000 0.5000
Pd1 Pd 0.0490 0.0000 0.2222
Pd2 Pd 0.0964 0.5000 0.9615
Pd3 Pd 0.1431 0.0000 0.6984
Pd4 Pd 0.1842 0.5000 0.4108
# **Calculated formation energy**: -0.202 eV per atom
# **Crystal system**: monoclinic

No. 5
# BPt2Pb PBE relaxed
data_BPt2Pb
_cell_length_a 5.3808
_cell_length_b 5.3808
_cell_length_c 11.1749
_cell_angle_alpha 90.00
_cell_angle_beta 90.00
_cell_angle_gamma 90.00
_space_group_name_H-M_alt 'I -4 2 d'
_space_group_IT_number 122
_space_group_name_Hall 'I -4 2bw'
loop_
_atom_site_label
_atom_site_type_symbol
_atom_site_fract_x
_atom_site_fract_y
_atom_site_fract_z
B1 B 0.0000 0.0000 0.0000
Pt1 Pt 0.1331 0.2500 0.1250
Pb1 Pb 0.0000 0.0000 0.5000
# **Calculated formation energy**: -0.009 eV per atom
# **Crystal system**: tetragonal

No. 6
# TiBSbTe2 PBE relaxed
data_TiBSbTe2
_cell_length_a 5.2867
_cell_length_b 5.2867
_cell_length_c 5.3027
_cell_angle_alpha 90.00
_cell_angle_beta 90.00
_cell_angle_gamma 90.00
_space_group_name_H-M_alt 'P 4/m m m'
_space_group_IT_number 123
_space_group_name_Hall '-P 4 2'
loop_
_atom_site_label
_atom_site_type_symbol
_atom_site_fract_x
_atom_site_fract_y
_atom_site_fract_z
Ti1 Ti 0.0000 0.0000 0.0000
B1 B 0.5000 0.5000 0.5000
Sb1 Sb 0.0000 0.0000 0.5000
Te1 Te 0.0000 0.5000 0.0000
# **Uncorrected formation energy**: 90.56 kJ per mole of atoms
# **Crystal system**: tetragonal

No. 7
# MgNi4H8Pd PBE relaxed
data_MgNi4H8Pd
_cell_length_a 5.1528
_cell_length_b 5.1528
_cell_length_c 13.6749
_cell_angle_alpha 90.00
_cell_angle_beta 90.00
_cell_angle_gamma 120.00
_space_group_name_H-M_alt 'R 3 m'
_space_group_IT_number 160
_space_group_name_Hall 'R 3 -2"'
loop_
_atom_site_label
_atom_site_type_symbol
_atom_site_fract_x
_atom_site_fract_y
_atom_site_fract_z
Mg1 Mg 0.0000 0.0000 0.0000
Ni1 Ni 0.0000 0.0000 0.2725
Ni2 Ni 0.0049 0.5025 0.1407
H1 H 0.0000 0.0000 0.3998
H2 H 0.0000 0.0000 0.8589
H3 H 0.9998 0.4999 0.8774
H4 H 0.0460 0.5230 0.4104
Pd1 Pd 0.0000 0.0000 0.6402
# **Electronic total energy**: -0.3024 Ry per atom
# **Crystal system**: trigonal

No. 8
# ErPuAgPt PBE relaxed
data_ErPuAgPt
_cell_length_a 7.1088
_cell_length_b 7.1088
_cell_length_c 7.1088
_cell_angle_alpha 90.00
_cell_angle_beta 90.00
_cell_angle_gamma 90.00
_space_group_name_H-M_alt 'F -4 3 m'
_space_group_IT_number 216
_space_group_name_Hall 'F -4 2 3'
loop_
_atom_site_label
_atom_site_type_symbol
_atom_site_fract_x
_atom_site_fract_y
_atom_site_fract_z
Er1 Er 0.0000 0.0000 0.0000
Pu1 Pu 0.0000 0.0000 0.5000
Ag1 Ag 0.2500 0.2500 0.7500
Pt1 Pt 0.2500 0.2500 0.2500
# **Calculated formation energy**: -0.524 eV per atom
# **Crystal system**: cubic

No. 9
# AlTl2V PBE relaxed
data_AlTl2V
_cell_length_a 7.0614
_cell_length_b 7.0614
_cell_length_c 7.0614
_cell_angle_alpha 90.00
_cell_angle_beta 90.00
_cell_angle_gamma 90.00
_space_group_name_H-M_alt 'F m -3 m'
_space_group_IT_number 225
_space_group_name_Hall '-F 4 2 3'
loop_
_atom_site_label
_atom_site_type_symbol
_atom_site_fract_x
_atom_site_fract_y
_atom_site_fract_z
Al1 Al 0.0000 0.0000 0.0000
Tl1 Tl 0.2500 0.2500 0.2500
V1 V 0.0000 0.0000 0.5000
# **Calculated formation energy**: 0.553 eV per atom
# **Crystal system**: cubic

No. 10
# Nd4Bi2PS PBE relaxed
data_Nd4Bi2PS
_cell_length_a 7.5018
_cell_length_b 4.3366
_cell_length_c 7.6430
_cell_angle_alpha 90.00
_cell_angle_beta 109.08
_cell_angle_gamma 90.00
_space_group_name_H-M_alt 'P 1 2/m 1'
_space_group_IT_number 10
loop_
_space_group_symop_operation_xyz
'x,y,z'
'-x,-y,-z'
'-x,y,-z'
'x,-y,z'
loop_
_atom_site_label
_atom_site_type_symbol
_atom_site_fract_x
_atom_site_fract_y
_atom_site_fract_z
Nd1 Nd 0.2375 0.0000 0.2213
Nd2 Nd 0.2556 0.5000 0.7776
Bi1 Bi 0.0000 0.0000 0.5000
Bi2 Bi 0.5000 0.5000 0.5000
P1 P 0.0000 0.5000 0.0000
S1 S 0.5000 0.0000 0.0000
# **Uncorrected formation energy**: -128.53 kJ per mole of atoms
# **Crystal system**: monoclinic

No. 11
# MoAs2W PBE relaxed
data_MoAs2W
_cell_length_a 3.0595
_cell_length_b 3.0595
_cell_length_c 23.6854
_cell_angle_alpha 90.00
_cell_angle_beta 90.00
_cell_angle_gamma 120.00
_space_group_name_H-M_alt 'R -3 m'
_space_group_IT_number 166
_space_group_name_Hall '-R 3 2"'
loop_
_atom_site_label
_atom_site_type_symbol
_atom_site_fract_x
_atom_site_fract_y
_atom_site_fract_z
Mo1 Mo 0.0000 0.0000 0.0000
As1 As 0.0000 0.0000 0.2501
W1 W 0.0000 0.0000 0.5000
# **Calculated formation energy**: 0.279 eV per atom
# **Crystal system**: trigonal

No. 12
# BaNiW PBE relaxed
data_BaNiW
_cell_length_a 4.1867
_cell_length_b 4.1883
_cell_length_c 11.0525
_cell_angle_alpha 84.58
_cell_angle_beta 85.09
_cell_angle_gamma 60.03
_space_group_name_H-M_alt 'P -1'
_space_group_IT_number 2
loop_
_space_group_symop_operation_xyz
'x,y,z'
'-x,-y,-z'
loop_
_atom_site_label
_atom_site_type_symbol
_atom_site_fract_x
_atom_site_fract_y
_atom_site_fract_z
Ba1 Ba 0.2067 0.2209 0.2001
Ni1 Ni 0.4849 0.4805 0.6090
W1 W 0.1597 0.1575 0.5521
# **Calculated formation energy**: 0.320 eV per atom
# **Crystal system**: triclinic